[1]
Computed, not measured: a relaxed SrRe2Au crystal at the PBEsol level of DFT.

Cell: 5.854 5.854 2.706 Å, 100.25 100.25 123.37°
Positions (direct):
Sr: 0.000 0.000 0.000
Re: 0.000 0.500 0.500
Re: 0.500 0.000 0.500
Au: 0.500 0.500 0.000

Computed properties:
Crystal system ... monoclinic
DOS(E_F) ... 3.0 states/eV/f.u.
Energy above the most stable polymorph in this dataset ... 0.070 eV per atom
Spin magnetization ... 0.00 μB/f.u.
Total DFT energy (no corrections) ... -7.24 eV/atom
Energy of formation from the pure elements ... 869 meV per atom
Density ... 15195 kg/m³

[2]
Computed, not measured: a relaxed CoIr2W crystal at the PBEsol level of DFT.

Cell: 4.614 4.614 4.636 Å, 99.58 99.58 33.97°
Positions (direct):
Co: 0.000 0.000 0.000
Ir: 0.252 0.252 0.759
Ir: 0.748 0.748 0.241
W: 0.500 0.500 0.500

Computed properties:
Crystal system ... monoclinic
DOS(E_F) ... 4.2 states/eV/f.u.
Energy above the most stable polymorph in this dataset ... 0.137 eV per atom
Spin magnetization ... 1.09 μB/f.u.
Total DFT energy (no corrections) ... -10.38 eV/atom
Energy of formation from the pure elements ... -81 meV per atom
Density ... 19186 kg/m³

[3]
Computed, not measured: a relaxed Cu2Pt crystal at the PBEsol level of DFT.

Cell: 4.564 5.890 6.396 Å, 111.79 90.71 105.39°
Positions (direct):
Cu: 0.000 0.000 0.000
Cu: 0.078 0.759 0.585
Cu: 0.244 0.240 0.742
Cu: 0.334 0.005 0.341
Cu: 0.500 0.500 0.500
Cu: 0.666 0.995 0.659
Cu: 0.756 0.760 0.258
Cu: 0.922 0.241 0.415
Pt: 0.170 0.511 0.182
Pt: 0.420 0.750 0.909
Pt: 0.580 0.250 0.091
Pt: 0.830 0.489 0.818

Computed properties:
Crystal system ... triclinic
DOS(E_F) ... 1.6 states/eV/f.u.
Energy above the most stable polymorph in this dataset ... 0.046 eV per atom
Spin magnetization ... 0.00 μB/f.u.
Total DFT energy (no corrections) ... -5.29 eV/atom
Energy of formation from the pure elements ... -79 meV per atom
Density ... 14009 kg/m³

Q: The lowest energy of formation from the pure elements belongs to which entry?
A: CoIr2W